No. 1
Material: YRuBr2
Method: DFT, PBE-GGA
State: optimized geometry

Summary:
Energy above the lowest structure with this stoichiometry = 489 meV per atom

abc: 4.623 4.623 3.756
angles: 90.00 90.00 90.00
Fractional positions:
Y 0.000 0.000 0.000
Ru 0.500 0.500 0.000
Br 0.000 0.500 0.500
Br 0.500 0.000 0.500

***

No. 2
Material: YRu2Br
Method: DFT, PBE-GGA
State: optimized geometry

Summary:
Energy above the lowest structure with this stoichiometry = 0 meV per atom

abc: 7.458 7.458 7.458
angles: 30.94 30.94 30.94
Fractional positions:
Y 0.000 0.000 0.000
Ru 0.252 0.252 0.252
Ru 0.556 0.556 0.556
Br 0.757 0.757 0.757

***

No. 3
Material: YRuBr2
Method: DFT, PBE-GGA
State: optimized geometry

Summary:
Energy above the lowest structure with this stoichiometry = 733 meV per atom

abc: 8.657 8.657 8.657
angles: 25.50 25.50 25.50
Fractional positions:
Y 0.000 0.000 0.000
Ru 0.500 0.500 0.500
Br 0.114 0.114 0.114
Br 0.886 0.886 0.886

***

No. 4
Material: YRu2Br
Method: DFT, PBE-GGA
State: optimized geometry

Summary:
Energy above the lowest structure with this stoichiometry = 307 meV per atom

abc: 4.673 4.673 5.373
angles: 111.52 111.52 49.01
Fractional positions:
Y 0.000 0.000 0.000
Ru 0.238 0.238 0.633
Ru 0.552 0.552 0.623
Br 0.806 0.806 0.349

***

No. 5
Material: YRuBr2
Method: DFT, PBE-GGA
State: optimized geometry

Summary:
Energy above the lowest structure with this stoichiometry = 493 meV per atom

abc: 4.884 4.884 4.884
angles: 60.00 60.00 60.00
Fractional positions:
Y 0.000 0.000 0.000
Ru 0.500 0.500 0.500
Br 0.250 0.250 0.250
Br 0.750 0.750 0.750

***

No. 6
Material: YRuBr2
Method: DFT, PBE-GGA
State: optimized geometry

Summary:
Energy above the lowest structure with this stoichiometry = 514 meV per atom

abc: 5.925 5.925 5.925
angles: 140.04 140.04 57.79
Fractional positions:
Y 0.000 0.000 0.000
Ru 0.750 0.250 0.500
Br 0.250 0.750 0.500
Br 0.500 0.500 0.000